<1>
Density functional theory data (PBE) for Hg3HPb after structural relaxation.

Summary:
Mass density in kg/m3: 6019
Magnetic moment in Bohr magnetons per cell: 1.0
Volume in Å³ per cell: 223

Structure (CIF):
```
data_Hg3HPb
_chemical_formula_sum 'Hg3 H1 Pb1'
_cell_length_a 6.068
_cell_length_b 6.068
_cell_length_c 6.068
_cell_angle_alpha 90.00
_cell_angle_beta 90.00
_cell_angle_gamma 90.00
_symmetry_space_group_name_H-M 'P m -3 m'
_symmetry_Int_Tables_number 221
_symmetry_space_group_name_Hall '-P 4 2 3'
loop_
_atom_site_label
_atom_site_type_symbol
_atom_site_fract_x
_atom_site_fract_y
_atom_site_fract_z
Hg1 Hg 0.000 0.000 0.500
H1 H 0.500 0.500 0.500
Pb1 Pb 0.000 0.000 0.000
```

***

<2>
Density functional theory data (PBE) for Hg3HPb after structural relaxation.

Summary:
Mass density in kg/m3: 12085
Magnetic moment in Bohr magnetons per cell: 0.0
Volume in Å³ per cell: 111

Structure (CIF):
```
data_Hg3HPb
_chemical_formula_sum 'Hg3 H1 Pb1'
_cell_length_a 4.810
_cell_length_b 4.810
_cell_length_c 4.810
_cell_angle_alpha 90.00
_cell_angle_beta 90.00
_cell_angle_gamma 90.00
_symmetry_space_group_name_H-M 'P m -3 m'
_symmetry_Int_Tables_number 221
_symmetry_space_group_name_Hall '-P 4 2 3'
loop_
_atom_site_label
_atom_site_type_symbol
_atom_site_fract_x
_atom_site_fract_y
_atom_site_fract_z
Hg1 Hg 0.000 0.000 0.500
H1 H 0.000 0.000 0.000
Pb1 Pb 0.500 0.500 0.500
```

***

<3>
Density functional theory data (PBE) for Hg3HPb after structural relaxation.

Summary:
Mass density in kg/m3: 10994
Magnetic moment in Bohr magnetons per cell: 0.0
Volume in Å³ per cell: 489

Structure (CIF):
```
data_Hg3HPb
_chemical_formula_sum 'Hg12 H4 Pb4'
_cell_length_a 3.647
_cell_length_b 10.796
_cell_length_c 12.449
_cell_angle_alpha 90.00
_cell_angle_beta 93.37
_cell_angle_gamma 90.00
_symmetry_space_group_name_H-M 'P 1 21/c 1'
_symmetry_Int_Tables_number 14
loop_
_symmetry_equiv_pos_as_xyz
'x,y,z'
'-x,-y,-z'
'-x,y+1/2,-z+1/2'
'x,-y+1/2,z+1/2'
loop_
_atom_site_label
_atom_site_type_symbol
_atom_site_fract_x
_atom_site_fract_y
_atom_site_fract_z
Hg1 Hg 0.021 0.239 0.236
Hg2 Hg 0.210 0.008 0.899
Hg3 Hg 0.467 0.513 0.820
H1 H 0.491 0.724 0.517
Pb1 Pb 0.010 0.174 0.488
```

***

Least stable = <1>

***

<1>
Density functional theory data (PBE) for HgHPd3 after structural relaxation.

Summary:
Mass density in kg/m3: 12013
Magnetic moment in Bohr magnetons per cell: 0.0
Volume in Å³ per cell: 144

Structure (CIF):
```
data_HgHPd3
_chemical_formula_sum 'Hg2 H2 Pd6'
_cell_length_a 3.0357
_cell_length_b 3.0357
_cell_length_c 18.0425
_cell_angle_alpha 90.00
_cell_angle_beta 90.00
_cell_angle_gamma 120.00
_symmetry_space_group_name_H-M 'P 63/m m c'
_symmetry_Int_Tables_number 194
_symmetry_space_group_name_Hall '-P 6c 2c'
loop_
_atom_site_label
_atom_site_type_symbol
_atom_site_fract_x
_atom_site_fract_y
_atom_site_fract_z
Hg1 Hg 0.0000 0.0000 0.0000
H1 H 0.3333 0.6667 0.2500
Pd1 Pd 0.0000 0.0000 0.2500
Pd2 Pd 0.3333 0.6667 0.1236
```

***

<2>
Density functional theory data (PBE) for HgHPd3 after structural relaxation.

Summary:
Mass density in kg/m3: 11826
Magnetic moment in Bohr magnetons per cell: 0.0
Volume in Å³ per cell: 146

Structure (CIF):
```
data_HgHPd3
_chemical_formula_sum 'Hg2 H2 Pd6'
_cell_length_a 4.5992
_cell_length_b 4.5992
_cell_length_c 7.9847
_cell_angle_alpha 90.00
_cell_angle_beta 90.00
_cell_angle_gamma 120.00
_symmetry_space_group_name_H-M 'P 63/m m c'
_symmetry_Int_Tables_number 194
_symmetry_space_group_name_Hall '-P 6c 2c'
loop_
_atom_site_label
_atom_site_type_symbol
_atom_site_fract_x
_atom_site_fract_y
_atom_site_fract_z
Hg1 Hg 0.3333 0.6667 0.2500
H1 H 0.0000 0.0000 0.0000
Pd1 Pd 0.0000 0.0000 0.2500
Pd2 Pd 0.3333 0.6667 0.5815
```

***

<3>
Density functional theory data (PBE) for HgHPd3 after structural relaxation.

Summary:
Mass density in kg/m3: 12172
Magnetic moment in Bohr magnetons per cell: 0.0
Volume in Å³ per cell: 284

Structure (CIF):
```
data_HgHPd3
_chemical_formula_sum 'Hg4 H4 Pd12'
_cell_length_a 10.392
_cell_length_b 4.786
_cell_length_c 6.013
_cell_angle_alpha 90.00
_cell_angle_beta 108.10
_cell_angle_gamma 90.00
_symmetry_space_group_name_H-M 'C 1 2/m 1'
_symmetry_Int_Tables_number 12
loop_
_symmetry_equiv_pos_as_xyz
'x,y,z'
'-x,-y,-z'
'-x,y,-z'
'x,-y,z'
'x+1/2,y+1/2,z'
'-x+1/2,-y+1/2,-z'
'-x+1/2,y+1/2,-z'
'x+1/2,-y+1/2,z'
loop_
_atom_site_label
_atom_site_type_symbol
_atom_site_fract_x
_atom_site_fract_y
_atom_site_fract_z
Hg1 Hg 0.131 0.000 0.438
H1 H 0.206 0.500 0.987
Pd1 Pd 0.116 0.000 0.931
Pd2 Pd 0.117 0.500 0.190
Pd3 Pd 0.123 0.500 0.682
```

***

<4>
Density functional theory data (PBE) for HgHPd3 after structural relaxation.

Summary:
Mass density in kg/m3: 12537
Magnetic moment in Bohr magnetons per cell: 0.0
Volume in Å³ per cell: 138

Structure (CIF):
```
data_HgHPd3
_chemical_formula_sum 'Hg2 H2 Pd6'
_cell_length_a 5.960
_cell_length_b 3.951
_cell_length_c 5.860
_cell_angle_alpha 90.00
_cell_angle_beta 90.00
_cell_angle_gamma 90.00
_symmetry_space_group_name_H-M 'P m m a'
_symmetry_Int_Tables_number 51
loop_
_symmetry_equiv_pos_as_xyz
'x,y,z'
'-x,-y,-z'
'-x+1/2,-y,z'
'x+1/2,y,-z'
'x+1/2,-y,-z'
'-x+1/2,y,z'
'-x,y,-z'
'x,-y,z'
loop_
_atom_site_label
_atom_site_type_symbol
_atom_site_fract_x
_atom_site_fract_y
_atom_site_fract_z
Hg1 Hg 0.250 0.000 0.000
H1 H 0.250 0.500 0.491
Pd1 Pd 0.000 0.500 0.253
Pd2 Pd 0.250 0.000 0.500
```

***

Least stable = <2>

***

<1>
Density functional theory data (PBE) for HgHPd3 after structural relaxation.

Summary:
Mass density in kg/m3: 12447
Magnetic moment in Bohr magnetons per cell: 0.0
Volume in Å³ per cell: 556

Structure (CIF):
```
data_HgHPd3
_chemical_formula_sum 'Hg8 H8 Pd24'
_cell_length_a 9.607
_cell_length_b 11.514
_cell_length_c 5.027
_cell_angle_alpha 90.00
_cell_angle_beta 91.25
_cell_angle_gamma 90.00
_symmetry_space_group_name_H-M 'C 1 2/c 1'
_symmetry_Int_Tables_number 15
loop_
_symmetry_equiv_pos_as_xyz
'x,y,z'
'-x,-y,-z'
'-x,y,-z+1/2'
'x,-y,z+1/2'
'x+1/2,y+1/2,z'
'-x+1/2,-y+1/2,-z'
'-x+1/2,y+1/2,-z+1/2'
'x+1/2,-y+1/2,z+1/2'
loop_
_atom_site_label
_atom_site_type_symbol
_atom_site_fract_x
_atom_site_fract_y
_atom_site_fract_z
Hg1 Hg 0.136 0.071 0.081
H1 H 0.000 0.288 0.750
H2 H 0.000 0.427 0.250
Pd1 Pd 0.122 0.312 0.085
Pd2 Pd 0.123 0.436 0.576
Pd3 Pd 0.128 0.187 0.585
```

***

<2>
Density functional theory data (PBE) for HgHPd3 after structural relaxation.

Summary:
Mass density in kg/m3: 11599
Magnetic moment in Bohr magnetons per cell: 0.0
Volume in Å³ per cell: 447

Structure (CIF):
```
data_HgHPd3
_chemical_formula_sum 'Hg6 H6 Pd18'
_cell_length_a 4.9910
_cell_length_b 4.9910
_cell_length_c 20.7393
_cell_angle_alpha 90.00
_cell_angle_beta 90.00
_cell_angle_gamma 120.00
_symmetry_space_group_name_H-M 'R -3'
_symmetry_Int_Tables_number 148
_symmetry_space_group_name_Hall '-R 3'
loop_
_atom_site_label
_atom_site_type_symbol
_atom_site_fract_x
_atom_site_fract_y
_atom_site_fract_z
Hg1 Hg 0.0000 0.0000 0.1662
H1 H 0.0000 0.0000 0.4187
Pd1 Pd 0.0017 0.6650 0.3886
```

***

<3>
Density functional theory data (PBE) for HgHPd3 after structural relaxation.

Summary:
Mass density in kg/m3: 11923
Magnetic moment in Bohr magnetons per cell: 0.0
Volume in Å³ per cell: 435

Structure (CIF):
```
data_HgHPd3
_chemical_formula_sum 'Hg6 H6 Pd18'
_cell_length_a 7.1122
_cell_length_b 7.1122
_cell_length_c 9.9357
_cell_angle_alpha 90.00
_cell_angle_beta 90.00
_cell_angle_gamma 120.00
_symmetry_space_group_name_H-M 'R -3 c'
_symmetry_Int_Tables_number 167
_symmetry_space_group_name_Hall '-R 3 2"c'
loop_
_atom_site_label
_atom_site_type_symbol
_atom_site_fract_x
_atom_site_fract_y
_atom_site_fract_z
Hg1 Hg 0.0000 0.0000 0.0000
H1 H 0.0000 0.0000 0.2500
Pd1 Pd 0.0000 0.2489 0.2500
```

***

Least stable = <3>